# LiTiMnO4, optimized geometry, DFT PBE+U
# ΔE to the lowest computed polymorph = 0 meV/atom
# E_tot = -0.27996 Ha/atom
# Volume = 10.94 A^3/atom
# Total magnetic moment = 0.571 μB per atom
data_LiTiMnO4
_cell_length_a 6.052
_cell_length_b 6.178
_cell_length_c 8.193
_cell_angle_alpha 90.00
_cell_angle_beta 90.00
_cell_angle_gamma 90.00
_space_group_name_H-M_alt 'I m m a'
_space_group_IT_number 74
_space_group_name_Hall '-I 2b 2'
loop_
_atom_site_label
_atom_site_fract_x
_atom_site_fract_y
_atom_site_fract_z
Li1 0.000 0.250 0.125
Ti1 0.250 0.250 0.750
Mn1 0.000 0.000 0.500
O1 0.000 0.032 0.737
O2 0.234 0.250 0.516